Run 1
Computed, not measured: crystalline KCa2W at its relaxed geometry at the PBE level of DFT.

Cell: 3.1603 5.1172 8.7965 Å, 90.00 90.00 90.00°
Space group Pmm2 (No. 25)
Symmetry-distinct sites (fractional):
K 0.0000 0.0000 0.0000 [1 per cell]
Ca 0.0000 0.0000 0.4002 [1 per cell]
Ca 0.5000 0.5000 0.6359 [1 per cell]
W 0.5000 0.5000 0.3006 [1 per cell]

Calculated values
Density (g/cm3): 3.54



Run 2
Computed, not measured: crystalline KCa2W at its relaxed geometry at the PBE level of DFT.

Cell: 4.6495 4.6591 11.9672 Å, 90.00 90.00 90.00°
Space group Cmmm (No. 65)
Symmetry-distinct sites (fractional):
K 0.0000 0.0000 0.0000 [2 per cell]
Ca 0.0000 0.5000 0.3208 [4 per cell]
W 0.0000 0.0000 0.5000 [2 per cell]

Calculated values
Density (g/cm3): 3.88



Run 3
Computed, not measured: crystalline KCa2W at its relaxed geometry at the PBE level of DFT.

Cell: 3.3777 3.3777 37.5082 Å, 90.00 90.00 120.00°
Space group R-3m (No. 166, hexagonal axes)
Symmetry-distinct sites (fractional):
K 0.0000 0.0000 0.0000 [3 per cell]
Ca 0.0000 0.0000 0.2309 [6 per cell]
W 0.0000 0.0000 0.5000 [3 per cell]

Calculated values
Density (g/cm3): 4.07



Run 4
Computed, not measured: crystalline KCa2W at its relaxed geometry at the PBE level of DFT.

Cell: 4.0520 4.0520 9.1943 Å, 90.00 90.00 90.00°
Space group P4mm (No. 99)
Symmetry-distinct sites (fractional):
K 0.0000 0.0000 0.0000 [1 per cell]
Ca 0.0000 0.0000 0.3939 [1 per cell]
Ca 0.5000 0.5000 0.6317 [1 per cell]
W 0.5000 0.5000 0.2819 [1 per cell]

Calculated values
Density (g/cm3): 3.33



Computed relative energies in units of kJ/mol of atoms: run 1 29.1; run 2 0.0; run 3 8.6; run 4 33.4



Run 1
Computed, not measured: crystalline KCa2W at its relaxed geometry at the PBE level of DFT.

Cell: 8.0408 8.0408 8.0408 Å, 90.00 90.00 90.00°
Space group F-43m (No. 216)
Symmetry-distinct sites (fractional):
K 0.0000 0.0000 0.0000 [4 per cell]
Ca 0.0000 0.0000 0.5000 [4 per cell]
Ca 0.2500 0.2500 0.2500 [4 per cell]
W 0.2500 0.2500 0.7500 [4 per cell]

Calculated values
Density (g/cm3): 3.87



Run 2
Computed, not measured: crystalline KCa2W at its relaxed geometry at the PBE level of DFT.

Cell: 3.3113 3.3113 37.8055 Å, 90.00 90.00 120.00°
Space group R3m (No. 160, hexagonal axes)
Symmetry-distinct sites (fractional):
K 0.0000 0.0000 0.0000 [3 per cell]
Ca 0.0000 0.0000 0.2325 [3 per cell]
Ca 0.0000 0.0000 0.4764 [3 per cell]
W 0.0000 0.0000 0.7451 [3 per cell]

Calculated values
Density (g/cm3): 4.21



Computed relative energies in units of kJ/mol of atoms: run 1 23.0; run 2 0.0



Run 1
Computed, not measured: crystalline K2CaY at its relaxed geometry at the PBE level of DFT.

Cell: 6.9002 6.9002 4.0423 Å, 90.00 90.00 90.00°
Space group P4/mmm (No. 123)
Symmetry-distinct sites (fractional):
K 0.0000 0.5000 0.0000 [2 per cell]
Ca 0.0000 0.0000 0.5000 [1 per cell]
Y 0.5000 0.5000 0.5000 [1 per cell]

Calculated values
Density (g/cm3): 1.79



Run 2
Computed, not measured: crystalline K2CaY at its relaxed geometry at the PBE level of DFT.

Cell: 3.7022 7.1962 6.9880 Å, 90.00 93.86 90.00°
Space group P2/m (No. 10)
Symmetry-distinct sites (fractional):
K 0.2400 0.0000 0.2462 [2 per cell]
Ca 0.0000 0.5000 0.5000 [1 per cell]
Y 0.5000 0.5000 0.0000 [1 per cell]

Calculated values
Density (g/cm3): 1.85



Computed relative energies in units of kJ/mol of atoms: run 1 17.6; run 2 0.0



Run 1
Computed, not measured: crystalline K2CaY at its relaxed geometry at the PBE level of DFT.

Cell: 5.2703 5.2703 6.8462 Å, 90.00 90.00 90.00°
Space group P4/mmm (No. 123)
Symmetry-distinct sites (fractional):
K 0.0000 0.5000 0.0000 [2 per cell]
Ca 0.0000 0.0000 0.5000 [1 per cell]
Y 0.5000 0.5000 0.5000 [1 per cell]

Calculated values
Density (g/cm3): 1.81



Run 2
Computed, not measured: crystalline K2CaY at its relaxed geometry at the PBE level of DFT.

Cell: 3.8800 3.8800 13.0938 Å, 90.00 90.00 90.00°
Space group P4mm (No. 99)
Symmetry-distinct sites (fractional):
K 0.0000 0.0000 0.0000 [1 per cell]
K 0.5000 0.5000 0.3034 [1 per cell]
Ca 0.5000 0.5000 0.7374 [1 per cell]
Y 0.0000 0.0000 0.5494 [1 per cell]

Calculated values
Density (g/cm3): 1.75



Run 3
Computed, not measured: crystalline K2CaY at its relaxed geometry at the PBE level of DFT.

Cell: 3.6461 6.8908 7.5319 Å, 90.00 90.00 90.00°
Space group Pmmm (No. 47)
Symmetry-distinct sites (fractional):
K 0.0000 0.0000 0.2447 [2 per cell]
Ca 0.5000 0.5000 0.5000 [1 per cell]
Y 0.5000 0.5000 0.0000 [1 per cell]

Calculated values
Density (g/cm3): 1.82



Computed relative energies in units of kJ/mol of atoms: run 1 20.6; run 2 0.0; run 3 17.2



Run 1
Computed, not measured: crystalline K2CaY at its relaxed geometry at the PBE level of DFT.

Cell: 5.2927 5.2927 13.6086 Å, 90.00 90.00 90.00°
Space group I4/mmm (No. 139)
Symmetry-distinct sites (fractional):
K 0.0000 0.5000 0.2500 [4 per cell]
Ca 0.0000 0.0000 0.0000 [2 per cell]
Y 0.0000 0.0000 0.5000 [2 per cell]

Calculated values
Density (g/cm3): 1.80



Run 2
Computed, not measured: crystalline K2CaY at its relaxed geometry at the PBE level of DFT.

Cell: 14.4163 3.7230 6.9578 Å, 90.00 94.77 90.00°
Space group C2/m (No. 12)
Symmetry-distinct sites (fractional):
K 0.2492 0.0000 0.2458 [4 per cell]
Ca 0.0000 0.0000 0.5000 [2 per cell]
Y 0.0000 0.5000 0.0000 [2 per cell]

Calculated values
Density (g/cm3): 1.85



Computed relative energies in units of kJ/mol of atoms: run 1 9.0; run 2 0.0



Run 1
Computed, not measured: crystalline K2CaY at its relaxed geometry at the PBE level of DFT.

Cell: 3.7242 3.7242 13.7328 Å, 90.00 90.00 90.00°
Space group P4/mmm (No. 123)
Symmetry-distinct sites (fractional):
K 0.0000 0.0000 0.2443 [2 per cell]
Ca 0.5000 0.5000 0.5000 [1 per cell]
Y 0.5000 0.5000 0.0000 [1 per cell]

Calculated values
Density (g/cm3): 1.81



Run 2
Computed, not measured: crystalline K2CaY at its relaxed geometry at the PBE level of DFT.

Cell: 3.8973 7.2314 13.9565 Å, 90.00 90.00 90.00°
Space group Imm2 (No. 44)
Symmetry-distinct sites (fractional):
K 0.0000 0.0000 0.0000 [2 per cell]
K 0.0000 0.5000 0.2420 [2 per cell]
Ca 0.0000 0.0000 0.4793 [2 per cell]
Y 0.0000 0.5000 0.7605 [2 per cell]

Calculated values
Density (g/cm3): 1.75



Run 3
Computed, not measured: crystalline K2CaY at its relaxed geometry at the PBE level of DFT.

Cell: 4.0136 6.4198 14.4919 Å, 90.00 90.00 90.00°
Space group Cmmm (No. 65)
Symmetry-distinct sites (fractional):
K 0.0000 0.0000 0.2434 [4 per cell]
Ca 0.0000 0.5000 0.5000 [2 per cell]
Y 0.0000 0.5000 0.0000 [2 per cell]

Calculated values
Density (g/cm3): 1.84



Computed relative energies in units of kJ/mol of atoms: run 1 5.9; run 2 9.0; run 3 0.0



Run 1
Computed, not measured: crystalline K2CaY at its relaxed geometry at the PBE level of DFT.

Cell: 4.4600 6.1812 13.8048 Å, 90.00 90.00 90.00°
Space group Cmm2 (No. 35)
Symmetry-distinct sites (fractional):
K 0.0000 0.0000 0.0000 [2 per cell]
K 0.0000 0.5000 0.2937 [2 per cell]
Ca 0.0000 0.5000 0.7390 [2 per cell]
Y 0.0000 0.0000 0.5389 [2 per cell]

Calculated values
Density (g/cm3): 1.81



Run 2
Computed, not measured: crystalline K2CaY at its relaxed geometry at the PBE level of DFT.

Cell: 3.8589 3.8589 43.5167 Å, 90.00 90.00 120.00°
Space group R-3m (No. 166, hexagonal axes)
Symmetry-distinct sites (fractional):
K 0.0000 0.0000 0.2476 [6 per cell]
Ca 0.0000 0.0000 0.0000 [3 per cell]
Y 0.0000 0.0000 0.5000 [3 per cell]

Calculated values
Density (g/cm3): 1.84



Computed relative energies in units of kJ/mol of atoms: run 1 0.0; run 2 9.3



Run 1
Computed, not measured: crystalline K2CaY at its relaxed geometry at the PBE level of DFT.

Cell: 13.0897 3.6988 7.9528 Å, 90.00 94.31 90.00°
Space group Cm (No. 8)
Symmetry-distinct sites (fractional):
K 0.0000 0.0000 0.0000 [2 per cell]
K 0.2448 0.0000 0.7498 [2 per cell]
Ca 0.2549 0.5000 0.2934 [2 per cell]
Y 0.4936 0.0000 0.4686 [2 per cell]

Calculated values
Density (g/cm3): 1.79



Run 2
Computed, not measured: crystalline K2CaY at its relaxed geometry at the PBE level of DFT.

Cell: 6.5019 6.5019 9.2226 Å, 90.00 90.00 90.00°
Space group I-4m2 (No. 119)
Symmetry-distinct sites (fractional):
K 0.0000 0.0000 0.0000 [2 per cell]
K 0.0000 0.5000 0.2500 [2 per cell]
Ca 0.0000 0.0000 0.5000 [2 per cell]
Y 0.0000 0.5000 0.7500 [2 per cell]

Calculated values
Density (g/cm3): 1.76



Computed relative energies in units of kJ/mol of atoms: run 1 0.0; run 2 11.7



Run 1
Computed, not measured: crystalline K2CaY at its relaxed geometry at the PBE level of DFT.

Cell: 9.1884 9.1884 9.1884 Å, 90.00 90.00 90.00°
Space group Fm-3m (No. 225)
Symmetry-distinct sites (fractional):
K 0.2500 0.2500 0.2500 [8 per cell]
Ca 0.0000 0.0000 0.0000 [4 per cell]
Y 0.0000 0.0000 0.5000 [4 per cell]

Calculated values
Density (g/cm3): 1.77



Run 2
Computed, not measured: crystalline K2CaY at its relaxed geometry at the PBE level of DFT.

Cell: 7.5492 13.8121 3.6288 Å, 90.00 90.00 90.00°
Space group Cmmm (No. 65)
Symmetry-distinct sites (fractional):
K 0.2500 0.2500 0.0000 [4 per cell]
Ca 0.0000 0.0000 0.5000 [2 per cell]
Y 0.0000 0.5000 0.5000 [2 per cell]

Calculated values
Density (g/cm3): 1.82



Run 3
Computed, not measured: crystalline K2CaY at its relaxed geometry at the PBE level of DFT.

Cell: 10.4140 10.4140 7.3801 Å, 90.00 90.00 90.00°
Space group I-42d (No. 122)
Symmetry-distinct sites (fractional):
K 0.2470 0.7500 0.1250 [8 per cell]
Ca 0.0000 0.0000 0.0000 [4 per cell]
Y 0.0000 0.0000 0.5000 [4 per cell]

Calculated values
Density (g/cm3): 1.72



Computed relative energies in units of kJ/mol of atoms: run 1 14.7; run 2 0.0; run 3 25.1



Run 1
Computed, not measured: crystalline KCa2Y2 at its relaxed geometry at the PBE level of DFT.

Cell: 10.6641 10.6641 3.7670 Å, 90.00 90.00 90.00°
Space group P4/mbm (No. 127)
Symmetry-distinct sites (fractional):
K 0.0000 0.0000 0.0000 [2 per cell]
Ca 0.1758 0.3242 0.5000 [4 per cell]
Y 0.1111 0.6111 0.0000 [4 per cell]

Calculated values
Density (g/cm3): 2.30



Run 2
Computed, not measured: crystalline KCa2Y2 at its relaxed geometry at the PBE level of DFT.

Cell: 4.4816 4.4816 23.5811 Å, 90.00 90.00 90.00°
Space group I4/mmm (No. 139)
Symmetry-distinct sites (fractional):
K 0.0000 0.0000 0.0000 [2 per cell]
Ca 0.0000 0.0000 0.3758 [4 per cell]
Y 0.0000 0.5000 0.2500 [4 per cell]

Calculated values
Density (g/cm3): 2.08



Computed relative energies in units of kJ/mol of atoms: run 1 0.0; run 2 7.8



Run 1
Computed, not measured: crystalline KCa2Zn2 at its relaxed geometry at the PBE level of DFT.

Cell: 5.2499 5.2499 12.3124 Å, 90.00 90.00 90.00°
Space group I4/mmm (No. 139)
Symmetry-distinct sites (fractional):
K 0.0000 0.0000 0.0000 [2 per cell]
Ca 0.0000 0.5000 0.2500 [4 per cell]
Zn 0.0000 0.0000 0.3969 [4 per cell]

Calculated values
Density (g/cm3): 2.45



Run 2
Computed, not measured: crystalline KCa2Zn2 at its relaxed geometry at the PBE level of DFT.

Cell: 5.6541 5.6541 11.9001 Å, 90.00 90.00 90.00°
Space group I4/mmm (No. 139)
Symmetry-distinct sites (fractional):
K 0.0000 0.0000 0.0000 [2 per cell]
Ca 0.0000 0.0000 0.3394 [4 per cell]
Zn 0.0000 0.5000 0.2500 [4 per cell]

Calculated values
Density (g/cm3): 2.18



Computed relative energies in units of kJ/mol of atoms: run 1 0.0; run 2 11.6



Run 1
Computed, not measured: crystalline KCa2Zn2 at its relaxed geometry at the PBE level of DFT.

Cell: 8.8127 8.8127 4.0109 Å, 90.00 90.00 90.00°
Space group P4/mbm (No. 127)
Symmetry-distinct sites (fractional):
K 0.0000 0.0000 0.0000 [2 per cell]
Ca 0.1618 0.3382 0.5000 [4 per cell]
Zn 0.1154 0.6154 0.0000 [4 per cell]

Calculated values
Density (g/cm3): 2.67



Run 2
Computed, not measured: crystalline KCa2Zn2 at its relaxed geometry at the PBE level of DFT.

Cell: 9.2105 9.2105 3.6013 Å, 90.00 90.00 90.00°
Space group P4/mbm (No. 127)
Symmetry-distinct sites (fractional):
K 0.0000 0.0000 0.0000 [2 per cell]
Ca 0.1334 0.3666 0.0000 [4 per cell]
Zn 0.1587 0.6587 0.5000 [4 per cell]

Calculated values
Density (g/cm3): 2.72



Computed relative energies in units of kJ/mol of atoms: run 1 0.0; run 2 3.3